# 1
NaSr4Mg2 | the Alexandria database | GGA-PBE | optimized geometry; E_form = 0.05 eV/atom; total moment = 0.0 μB per cell; crystal system = trigonal
1.0
3.047 1.759 9.524
-3.047 1.759 9.524
0.000 -3.518 9.524
Na Sr Mg
1 4 2
direct
0.000 0.000 0.000 Na
0.131 0.131 0.131 Sr
0.385 0.385 0.385 Sr
0.615 0.615 0.615 Sr
0.869 0.869 0.869 Sr
0.256 0.256 0.256 Mg
0.744 0.744 0.744 Mg

***

# 2
KOs2W | the Alexandria database | GGA-PBE | optimized geometry; E_form = 0.69 eV/atom; ΔE to the lowest computed polymorph = 0.000 eV per atom; total moment = 0.0 μB per cell; crystal system = trigonal
1.0
1.403 0.810 10.297
-1.403 0.810 10.297
0.000 -1.620 10.297
K Os W
1 2 1
direct
0.000 0.000 0.000 K
0.237 0.237 0.237 Os
0.763 0.763 0.763 Os
0.500 0.500 0.500 W

***

# 3
CdAg2Cl | the Alexandria database | GGA-PBE | optimized geometry; ΔE to the lowest computed polymorph = 0.045 eV per atom; total moment = 0.0 μB per cell; crystal system = tetragonal; uncorrected formation energy = -0.117 eV per atom
1.0
3.218 0.000 0.000
0.000 3.218 0.000
0.000 0.000 7.787
Cd Ag Cl
1 2 1
direct
0.000 0.000 0.000 Cd
0.000 0.000 0.521 Ag
0.500 0.500 0.759 Ag
0.500 0.500 0.270 Cl

***

# 4
Pm2Er4Tm5 | the Alexandria database | GGA-PBE | optimized geometry; E_form = 0.22 eV/atom; ΔE to the lowest computed polymorph = 0.195 eV per atom; total moment = 0.0 μB per cell; crystal system = orthorhombic
1.0
-1.732 4.461 11.509
1.732 -4.461 11.509
1.732 4.461 -11.509
Pm Er Tm
2 4 5
direct
0.233 0.233 0.000 Pm
0.767 0.767 0.000 Pm
0.097 0.097 0.000 Er
0.190 0.500 0.690 Er
0.810 0.500 0.310 Er
0.903 0.903 0.000 Er
0.165 0.359 0.806 Tm
0.447 0.641 0.806 Tm
0.500 0.000 0.500 Tm
0.553 0.359 0.194 Tm
0.835 0.641 0.194 Tm

***

# 5
LiLaSi2 | the Alexandria database | GGA-PBE | optimized geometry; ΔE to the lowest computed polymorph = 0.006 eV per atom; total moment = 0.0 μB per cell; crystal system = orthorhombic; uncorrected formation energy = -0.617 eV per atom
1.0
7.816 0.000 0.000
0.000 3.916 0.000
0.000 0.000 10.772
Li La Si
4 4 8
direct
0.003 0.250 0.111 Li
0.497 0.750 0.611 Li
0.503 0.250 0.389 Li
0.997 0.750 0.889 Li
0.139 0.750 0.366 La
0.361 0.250 0.866 La
0.639 0.750 0.134 La
0.861 0.250 0.634 La
0.166 0.750 0.677 Si
0.225 0.750 0.073 Si
0.275 0.250 0.573 Si
0.334 0.250 0.177 Si
0.666 0.750 0.823 Si
0.725 0.750 0.427 Si
0.775 0.250 0.927 Si
0.834 0.250 0.323 Si

***

# 6
K2CaCl | the Alexandria database | GGA-PBE | optimized geometry; ΔE to the lowest computed polymorph = 0.365 eV per atom; total moment = 0.0 μB per cell; crystal system = orthorhombic; uncorrected formation energy = -0.487 eV per atom
1.0
3.478 -5.938 0.000
3.478 5.938 0.000
0.000 0.000 4.324
K Ca Cl
2 1 1
direct
0.000 0.500 0.000 K
0.500 0.000 0.000 K
0.000 0.000 0.500 Ca
0.500 0.500 0.500 Cl

***

# 7
Tl2SiRu | the Alexandria database | GGA-PBE | optimized geometry; ΔE to the lowest computed polymorph = 0.784 eV per atom; total moment = 0.0 μB per cell; crystal system = cubic; uncorrected formation energy = 0.827 eV per atom
1.0
0.000 3.434 3.434
3.434 0.000 3.434
3.434 3.434 0.000
Tl Si Ru
2 1 1
direct
0.250 0.250 0.250 Tl
0.750 0.750 0.750 Tl
0.000 0.000 0.000 Si
0.500 0.500 0.500 Ru